Record 1
The following is a SCAN calculation of a crystal of CsTcSN2 relaxed with PBEsol, from the Alexandria database.

Lattice parameters (Å, degrees): 4.023 4.023 4.830 90.00 90.00 90.00
Fractional coordinates of all 5 atoms:
Cs 0.500 0.500 0.500
S 0.000 0.000 0.500
Tc 0.000 0.000 0.000
N 0.000 0.500 0.000
N 0.500 0.000 0.000

Calculated values
- DOS(E_F) (states/eV/cell) = 3.5
- space group = P4/mmm, No. 123
- DFT total energy (eV/f.u.) = -98.811
- total magnetization (μB per formula unit) = 0.0
- V (Å³ per atom) = 15.63

=====

Record 2
The following is a SCAN calculation of a crystal of Hf2AlAsO relaxed with PBEsol, from the Alexandria database.

Lattice parameters (Å, degrees): 4.436 4.922 4.922 90.00 90.00 90.00
Fractional coordinates of all 5 atoms:
As 0.000 0.000 0.000
Hf 0.000 0.000 0.500
Hf 0.000 0.500 0.000
Al 0.500 0.000 0.000
O 0.500 0.500 0.500

Calculated values
- DOS(E_F) (states/eV/cell) = 5.3
- space group = P4/mmm, No. 123
- DFT total energy (eV/f.u.) = -155.242
- total magnetization (μB per formula unit) = 0.0
- V (Å³ per atom) = 21.50

=====

Record 3
The following is a SCAN calculation of a crystal of ZrPbBr2 relaxed with PBEsol, from the Alexandria database.

Lattice parameters (Å, degrees): 3.406 5.734 5.983 118.49 106.33 90.43
Fractional coordinates of all 4 atoms:
Pb 0.500 0.500 0.000
Br 0.000 0.000 0.500
Br 0.500 0.500 0.500
Zr 0.000 0.000 0.000

Calculated values
- DOS(E_F) (states/eV/cell) = 1.1
- space group = C2/m, No. 12
- DFT total energy (eV/f.u.) = -146.909
- total magnetization (μB per formula unit) = 0.0
- V (Å³ per atom) = 24.28

=====

Record 4
The following is a SCAN calculation of a crystal of Tm2Mn12InSn11 relaxed with PBEsol, from the Alexandria database.

Lattice parameters (Å, degrees): 5.348 5.348 17.674 90.00 90.00 120.00
Fractional coordinates of all 26 atoms:
Tm 0.333 0.667 0.250
Tm 0.333 0.667 0.750
Mn 0.332 0.166 0.372
Mn 0.334 0.167 0.875
Mn 0.834 0.668 0.372
Mn 0.833 0.666 0.875
Mn 0.834 0.166 0.372
Mn 0.833 0.167 0.875
Mn 0.332 0.166 0.628
Mn 0.334 0.167 0.125
Mn 0.834 0.668 0.628
Mn 0.833 0.666 0.125
Mn 0.834 0.166 0.628
Mn 0.833 0.167 0.125
In 0.667 0.333 0.500
Sn 0.667 0.333 0.751
Sn 0.667 0.333 0.249
Sn 0.000 0.000 0.249
Sn 0.000 0.000 0.751
Sn 0.333 0.667 0.416
Sn 0.333 0.667 0.916
Sn 0.333 0.667 0.584
Sn 0.333 0.667 0.084
Sn 0.667 0.333 0.000
Sn 0.000 0.000 0.500
Sn 0.000 0.000 0.000

Calculated values
- energy of formation (kJ/mol of formula units) = -571.6
- DOS(E_F) (states/eV/cell) = 13.9
- space group = P-6m2, No. 187
- total magnetization (μB per formula unit) = 28.0
- V (Å³ per atom) = 16.84

=====

Record 5
The following is a SCAN calculation of a crystal of LaGa3Cu relaxed with PBEsol, from the Alexandria database.

Lattice parameters (Å, degrees): 4.208 4.208 6.008 110.50 110.50 90.00
Fractional coordinates of all 5 atoms:
Cu 0.750 0.250 0.500
Ga 0.381 0.381 0.761
Ga 0.619 0.619 0.239
Ga 0.250 0.750 0.500
La 0.000 0.000 0.000

Calculated values
- energy of formation (kJ/mol of formula units) = -304.2
- DOS(E_F) (states/eV/cell) = 1.5
- space group = I-4m2, No. 119
- total magnetization (μB per formula unit) = 0.0
- V (Å³ per atom) = 18.49

=====

Record 6
The following is a SCAN calculation of a crystal of YSc2Ni relaxed with PBEsol, from the Alexandria database.

Lattice parameters (Å, degrees): 3.325 4.947 5.939 114.61 106.26 90.00
Fractional coordinates of all 4 atoms:
Y 0.500 0.000 0.000
Ni 0.000 0.500 0.000
Sc 0.699 0.699 0.399
Sc 0.301 0.301 0.601

Calculated values
- energy of formation (kJ/mol of formula units) = -82.7
- DOS(E_F) (states/eV/cell) = 4.6
- space group = Immm, No. 71
- total magnetization (μB per formula unit) = 0.0
- V (Å³ per atom) = 21.13

=====

Record 7
The following is a SCAN calculation of a crystal of Ta3Co5B2 relaxed with PBEsol, from the Alexandria database.

Lattice parameters (Å, degrees): 3.205 8.321 8.321 90.00 90.00 90.00
Fractional coordinates of all 20 atoms:
Ta 0.000 0.500 0.500
Ta 0.000 0.000 0.000
Ta 0.000 0.825 0.325
Ta 0.000 0.175 0.675
Ta 0.000 0.325 0.175
Ta 0.000 0.675 0.825
Co 0.500 0.500 0.000
Co 0.500 0.000 0.500
Co 0.500 0.720 0.570
Co 0.500 0.280 0.430
Co 0.500 0.220 0.930
Co 0.500 0.780 0.070
Co 0.500 0.430 0.720
Co 0.500 0.570 0.280
Co 0.500 0.070 0.220
Co 0.500 0.930 0.780
B 0.000 0.619 0.119
B 0.000 0.381 0.881
B 0.000 0.119 0.381
B 0.000 0.881 0.619

Calculated values
- energy of formation (kJ/mol of formula units) = -292.9
- DOS(E_F) (states/eV/cell) = 14.3
- space group = P4/mbm, No. 127
- total magnetization (μB per formula unit) = 0.0
- V (Å³ per atom) = 11.10

=====

Record 8
The following is a SCAN calculation of a crystal of SrTe2Pb relaxed with PBEsol, from the Alexandria database.

Lattice parameters (Å, degrees): 4.612 4.612 6.534 90.00 90.00 89.99
Fractional coordinates of all 4 atoms:
Pb 0.375 0.375 0.000
Sr 0.877 0.877 0.500
Te 0.876 0.876 0.000
Te 0.377 0.377 0.500

Calculated values
- space group = Amm2, No. 38
- DFT total energy (eV/f.u.) = -177.199
- total magnetization (μB per formula unit) = 0.0
- V (Å³ per atom) = 34.74

=====

Record 9
The following is a SCAN calculation of a crystal of MnNiIr2 relaxed with PBEsol, from the Alexandria database.

Lattice parameters (Å, degrees): 4.205 4.205 4.205 60.00 60.00 60.00
Fractional coordinates of all 4 atoms:
Ir 0.000 0.000 0.000
Ir 0.250 0.250 0.250
Mn 0.500 0.500 0.500
Ni 0.750 0.750 0.750

Calculated values
- energy of formation (kJ/mol of formula units) = 8.8
- DOS(E_F) (states/eV/cell) = 4.6
- space group = F-43m, No. 216
- total magnetization (μB per formula unit) = 4.9
- V (Å³ per atom) = 13.15

=====

Record 10
The following is a SCAN calculation of a crystal of Sr2YCoO6 relaxed with PBEsol, from the Alexandria database.

Lattice parameters (Å, degrees): 5.637 5.637 5.637 90.00 120.00 120.00
Fractional coordinates of all 10 atoms:
Sr 0.500 0.250 0.750
Sr 0.500 0.750 0.250
Y 0.000 0.500 0.500
Co 0.000 0.000 0.000
O 0.000 0.770 0.770
O 0.000 0.230 0.230
O 0.459 0.230 0.230
O 0.541 0.770 0.770
O 0.000 0.230 0.770
O 0.000 0.770 0.230

Calculated values
- DOS(E_F) (states/eV/cell) = 6.2
- space group = Fm-3m, No. 225
- DFT total energy (eV/f.u.) = -152.673
- total magnetization (μB per formula unit) = 2.0
- V (Å³ per atom) = 12.67

=====

Record 11
The following is a SCAN calculation of a crystal of PtC3F relaxed with PBEsol, from the Alexandria database.

Lattice parameters (Å, degrees): 3.649 3.649 3.649 90.00 90.00 90.00
Fractional coordinates of all 5 atoms:
C 0.000 0.500 0.000
C 0.000 0.000 0.500
C 0.500 0.000 0.000
Pt 0.500 0.500 0.500
F 0.000 0.000 0.000

Calculated values
- DOS(E_F) (states/eV/cell) = 1.5
- space group = Pm-3m, No. 221
- DFT total energy (eV/f.u.) = -88.084
- total magnetization (μB per formula unit) = 0.0
- V (Å³ per atom) = 9.72

=====

Record 12
The following is a SCAN calculation of a crystal of BaCoOs2Ru relaxed with PBEsol, from the Alexandria database.

Lattice parameters (Å, degrees): 4.407 4.407 5.130 90.00 90.00 90.00
Fractional coordinates of all 5 atoms:
Ru 0.500 0.500 0.500
Os 0.000 0.500 0.000
Os 0.500 0.000 0.000
Ba 0.000 0.000 0.500
Co 0.000 0.000 0.000

Calculated values
- energy of formation (kJ/mol of formula units) = 977.2
- DOS(E_F) (states/eV/cell) = 6.0
- space group = P4/mmm, No. 123
- total magnetization (μB per formula unit) = 1.8
- V (Å³ per atom) = 19.93

=====

> total magnetization of number 2 (Hf2AlAsO)?

0.0 μB per formula unit

=====

> Which of these has the lowest V?

PtC3F

=====

> Among the records above, which one has the highest total magnetization?

Tm2Mn12InSn11

=====

> Which of these has the highest V?

SrTe2Pb